Pr6GaSi2Cl3: optimized geometry, PBE.

Computed properties:
**Formation energy without anion corrections**: -1.126 eV/atom

a b c (Å): 18.702 4.270 8.589
angles (deg): 90.00 102.66 90.00
Space group C2/m (No. 12)
Inequivalent atoms, fractional coordinates:
Pr: 0.005 0.000 0.246 x4
Pr: 0.163 0.500 0.097 x4
Pr: 0.173 0.500 0.571 x4
Ga: 0.000 0.500 0.000 x2
Si: 0.167 0.000 0.334 x4
Cl: 0.000 0.500 0.500 x2
Cl: 0.167 0.000 0.833 x4